Record 1
Compound: Al2CdTe
Source: the Alexandria database
Functional: GGA-PBE
Structure: relaxed

Volume, Å³/atom: 22.93
Energy above the lowest structure with this stoichiometry, meV per atom: 0

The structure in CIF format:
```
data_Al2CdTe
_chemical_formula_sum 'Al2 Cd1 Te1'
_symmetry_space_group_name_H-M 'P 1'
_symmetry_Int_Tables_number 1
_cell_length_a 3.017
_cell_length_b 3.865
_cell_length_c 7.867
_cell_angle_alpha 90.00
_cell_angle_beta 90.00
_cell_angle_gamma 90.00
loop_
_symmetry_equiv_pos_as_xyz
'x,y,z'
loop_
_atom_site_label
_atom_site_fract_x
_atom_site_fract_y
_atom_site_fract_z
_atom_site_occupancy
Al1 0.000 0.000 0.000 1
Al2 0.500 0.500 0.191 1
Cd1 0.500 0.500 0.773 1
Te1 0.500 0.000 0.454 1
```

Record 2
Compound: Nb6Ir3N
Source: the Alexandria database
Functional: GGA-PBE
Structure: relaxed

E, eV/atom: -9.8394
Volume, Å³/atom: 16.48

The structure in CIF format:
```
data_Nb6Ir3N
_chemical_formula_sum 'Nb6 Ir3 N1'
_symmetry_space_group_name_H-M 'P 1'
_symmetry_Int_Tables_number 1
_cell_length_a 5.565
_cell_length_b 5.565
_cell_length_c 7.495
_cell_angle_alpha 118.94
_cell_angle_beta 118.94
_cell_angle_gamma 58.58
loop_
_symmetry_equiv_pos_as_xyz
'x,y,z'
loop_
_atom_site_label
_atom_site_fract_x
_atom_site_fract_y
_atom_site_fract_z
_atom_site_occupancy
Nb1 0.157 0.661 0.732 1
Nb2 0.252 0.252 0.066 1
Nb3 0.339 0.843 0.268 1
Nb4 0.661 0.157 0.732 1
Nb5 0.748 0.748 0.934 1
Nb6 0.843 0.339 0.268 1
Ir1 0.150 0.150 0.661 1
Ir2 0.500 0.500 0.500 1
Ir3 0.850 0.850 0.339 1
N1 0.000 0.000 0.000 1
```

Record 3
Compound: B2IrCS
Source: the Alexandria database
Functional: GGA-PBE
Structure: relaxed

E, eV/atom: -4.7609
Volume, Å³/atom: 11.92

The structure in CIF format:
```
data_B2IrCS
_chemical_formula_sum 'B2 Ir1 C1 S1'
_symmetry_space_group_name_H-M 'P 1'
_symmetry_Int_Tables_number 1
_cell_length_a 3.566
_cell_length_b 3.566
_cell_length_c 4.688
_cell_angle_alpha 90.00
_cell_angle_beta 90.00
_cell_angle_gamma 90.00
loop_
_symmetry_equiv_pos_as_xyz
'x,y,z'
loop_
_atom_site_label
_atom_site_fract_x
_atom_site_fract_y
_atom_site_fract_z
_atom_site_occupancy
B1 0.000 0.500 0.000 1
B2 0.500 0.000 0.000 1
Ir1 0.000 0.000 0.500 1
C1 0.500 0.500 0.500 1
S1 0.000 0.000 0.000 1
```

Record 4
Compound: PrSmSe2
Source: the Alexandria database
Functional: GGA-PBE
Structure: relaxed

Volume, Å³/atom: 24.31
Energy above the lowest structure with this stoichiometry, meV per atom: 213

The structure in CIF format:
```
data_PrSmSe2
_chemical_formula_sum 'Pr1 Sm1 Se2'
_symmetry_space_group_name_H-M 'P 1'
_symmetry_Int_Tables_number 1
_cell_length_a 5.161
_cell_length_b 5.161
_cell_length_c 5.161
_cell_angle_alpha 60.00
_cell_angle_beta 60.00
_cell_angle_gamma 60.00
loop_
_symmetry_equiv_pos_as_xyz
'x,y,z'
loop_
_atom_site_label
_atom_site_fract_x
_atom_site_fract_y
_atom_site_fract_z
_atom_site_occupancy
Pr1 0.000 0.000 0.000 1
Sm1 0.500 0.500 0.500 1
Se1 0.250 0.250 0.250 1
Se2 0.750 0.750 0.750 1
```

Record 5
Compound: ReSbMo2
Source: the Alexandria database
Functional: GGA-PBE
Structure: relaxed

E, eV/atom: -9.1739
Volume, Å³/atom: 16.54

The structure in CIF format:
```
data_ReSbMo2
_chemical_formula_sum 'Re1 Sb1 Mo2'
_symmetry_space_group_name_H-M 'P 1'
_symmetry_Int_Tables_number 1
_cell_length_a 4.540
_cell_length_b 4.540
_cell_length_c 4.540
_cell_angle_alpha 60.00
_cell_angle_beta 60.00
_cell_angle_gamma 60.00
loop_
_symmetry_equiv_pos_as_xyz
'x,y,z'
loop_
_atom_site_label
_atom_site_fract_x
_atom_site_fract_y
_atom_site_fract_z
_atom_site_occupancy
Re1 0.000 0.000 0.000 1
Sb1 0.750 0.750 0.750 1
Mo1 0.250 0.250 0.250 1
Mo2 0.500 0.500 0.500 1
```

Record 6
Compound: LiHfIn4
Source: the Alexandria database
Functional: GGA-PBE
Structure: relaxed

Energy of formation, eV/atom: -0.112
Volume, Å³/atom: 22.89

The structure in CIF format:
```
data_LiHfIn4
_chemical_formula_sum 'Li1 Hf1 In4'
_symmetry_space_group_name_H-M 'P 1'
_symmetry_Int_Tables_number 1
_cell_length_a 3.159
_cell_length_b 3.100
_cell_length_c 14.025
_cell_angle_alpha 90.00
_cell_angle_beta 90.02
_cell_angle_gamma 90.00
loop_
_symmetry_equiv_pos_as_xyz
'x,y,z'
loop_
_atom_site_label
_atom_site_fract_x
_atom_site_fract_y
_atom_site_fract_z
_atom_site_occupancy
Li1 0.000 0.000 0.000 1
Hf1 0.000 0.500 0.500 1
In1 0.497 0.500 0.852 1
In2 0.499 0.000 0.340 1
In3 0.501 0.000 0.660 1
In4 0.503 0.500 0.148 1
```

Record 7
Compound: PmDy2Pd
Source: the Alexandria database
Functional: GGA-PBE
Structure: relaxed

Energy of formation, eV/atom: -0.441
Volume, Å³/atom: 27.69
Energy above the lowest structure with this stoichiometry, meV per atom: 16

The structure in CIF format:
```
data_PmDy2Pd
_chemical_formula_sum 'Pm2 Dy4 Pd2'
_symmetry_space_group_name_H-M 'P 1'
_symmetry_Int_Tables_number 1
_cell_length_a 3.781
_cell_length_b 9.350
_cell_length_c 6.543
_cell_angle_alpha 90.00
_cell_angle_beta 106.76
_cell_angle_gamma 90.00
loop_
_symmetry_equiv_pos_as_xyz
'x,y,z'
loop_
_atom_site_label
_atom_site_fract_x
_atom_site_fract_y
_atom_site_fract_z
_atom_site_occupancy
Pm1 0.061 0.250 0.122 1
Pm2 0.939 0.750 0.878 1
Dy1 0.364 0.060 0.727 1
Dy2 0.364 0.440 0.727 1
Dy3 0.636 0.560 0.273 1
Dy4 0.636 0.940 0.273 1
Pd1 0.236 0.750 0.473 1
Pd2 0.764 0.250 0.527 1
```

Record 8
Compound: BaAs2Pb
Source: the Alexandria database
Functional: GGA-PBE
Structure: relaxed

Energy of formation, eV/atom: -0.389
Volume, Å³/atom: 31.23

The structure in CIF format:
```
data_BaAs2Pb
_chemical_formula_sum 'Ba1 As2 Pb1'
_symmetry_space_group_name_H-M 'P 1'
_symmetry_Int_Tables_number 1
_cell_length_a 6.240
_cell_length_b 6.240
_cell_length_c 6.240
_cell_angle_alpha 48.47
_cell_angle_beta 48.47
_cell_angle_gamma 48.47
loop_
_symmetry_equiv_pos_as_xyz
'x,y,z'
loop_
_atom_site_label
_atom_site_fract_x
_atom_site_fract_y
_atom_site_fract_z
_atom_site_occupancy
Ba1 0.000 0.000 0.000 1
As1 0.203 0.203 0.203 1
As2 0.797 0.797 0.797 1
Pb1 0.500 0.500 0.500 1
```

Record 9
Compound: ErFe2Si2B
Source: the Alexandria database
Functional: GGA-PBE
Structure: relaxed

E, eV/atom: -7.0899
Volume, Å³/atom: 12.93

The structure in CIF format:
```
data_ErFe2Si2B
_chemical_formula_sum 'Er1 Fe2 Si2 B1'
_symmetry_space_group_name_H-M 'P 1'
_symmetry_Int_Tables_number 1
_cell_length_a 3.871
_cell_length_b 3.871
_cell_length_c 5.176
_cell_angle_alpha 90.00
_cell_angle_beta 90.00
_cell_angle_gamma 90.00
loop_
_symmetry_equiv_pos_as_xyz
'x,y,z'
loop_
_atom_site_label
_atom_site_fract_x
_atom_site_fract_y
_atom_site_fract_z
_atom_site_occupancy
Er1 0.000 0.000 0.000 1
Fe1 0.000 0.500 0.500 1
Fe2 0.500 0.000 0.500 1
Si1 0.500 0.500 0.230 1
Si2 0.500 0.500 0.770 1
B1 0.000 0.000 0.500 1
```

Record 10
Compound: Tb10YSc4
Source: the Alexandria database
Functional: GGA-PBE
Structure: relaxed

Energy of formation, eV/atom: 0.576
Volume, Å³/atom: 33.45

The structure in CIF format:
```
data_Tb10YSc4
_chemical_formula_sum 'Tb10 Y1 Sc4'
_symmetry_space_group_name_H-M 'P 1'
_symmetry_Int_Tables_number 1
_cell_length_a 8.743
_cell_length_b 8.743
_cell_length_c 8.743
_cell_angle_alpha 104.57
_cell_angle_beta 104.57
_cell_angle_gamma 119.80
loop_
_symmetry_equiv_pos_as_xyz
'x,y,z'
loop_
_atom_site_label
_atom_site_fract_x
_atom_site_fract_y
_atom_site_fract_z
_atom_site_occupancy
Tb1 0.032 0.695 0.098 1
Tb2 0.067 0.968 0.664 1
Tb3 0.250 0.750 0.500 1
Tb4 0.305 0.403 0.336 1
Tb5 0.403 0.067 0.098 1
Tb6 0.597 0.933 0.902 1
Tb7 0.695 0.597 0.664 1
Tb8 0.750 0.250 0.500 1
Tb9 0.933 0.032 0.336 1
Tb10 0.968 0.305 0.902 1
Y1 0.000 0.000 0.000 1
Sc1 0.273 0.450 0.723 1
Sc2 0.450 0.727 0.177 1
Sc3 0.550 0.273 0.823 1
Sc4 0.727 0.550 0.277 1
```

Record 11
Compound: H3W
Source: the Alexandria database
Functional: GGA-PBE
Structure: relaxed

Volume, Å³/atom: 6.33
Energy above the lowest structure with this stoichiometry, meV per atom: 293

The structure in CIF format:
```
data_H3W
_chemical_formula_sum 'H3 W1'
_symmetry_space_group_name_H-M 'P 1'
_symmetry_Int_Tables_number 1
_cell_length_a 3.311
_cell_length_b 3.311
_cell_length_c 3.311
_cell_angle_alpha 124.07
_cell_angle_beta 89.26
_cell_angle_gamma 116.92
loop_
_symmetry_equiv_pos_as_xyz
'x,y,z'
loop_
_atom_site_label
_atom_site_fract_x
_atom_site_fract_y
_atom_site_fract_z
_atom_site_occupancy
H1 0.000 0.000 0.000 1
H2 0.340 0.519 0.822 1
H3 0.697 0.519 0.178 1
W1 0.289 0.789 0.500 1
```

Record 12
Compound: TbSm2Ag4
Source: the Alexandria database
Functional: GGA-PBE
Structure: relaxed

Energy of formation, eV/atom: -0.106
Volume, Å³/atom: 26.41

The structure in CIF format:
```
data_TbSm2Ag4
_chemical_formula_sum 'Tb1 Sm2 Ag4'
_symmetry_space_group_name_H-M 'P 1'
_symmetry_Int_Tables_number 1
_cell_length_a 7.454
_cell_length_b 7.454
_cell_length_c 7.454
_cell_angle_alpha 137.79
_cell_angle_beta 137.79
_cell_angle_gamma 61.22
loop_
_symmetry_equiv_pos_as_xyz
'x,y,z'
loop_
_atom_site_label
_atom_site_fract_x
_atom_site_fract_y
_atom_site_fract_z
_atom_site_occupancy
Tb1 0.000 0.000 0.000 1
Sm1 0.278 0.278 0.000 1
Sm2 0.722 0.722 0.000 1
Ag1 0.117 0.617 0.500 1
Ag2 0.383 0.883 0.500 1
Ag3 0.617 0.117 0.500 1
Ag4 0.883 0.383 0.500 1
```

| no. | density of states at the Fermi level (states/eV per atom) |
| --- | --- |
| 1 | 0.300 |
| 2 | 0.788 |
| 3 | 0.798 |
| 4 | 0.679 |
| 5 | 1.206 |
| 6 | 0.413 |
| 7 | 1.152 |
| 8 | 0.641 |
| 9 | 0.460 |
| 10 | 1.408 |
| 11 | 0.376 |
| 12 | 0.876 |